(1)
Al8Cu2Ag after structural relaxation. Source: Alexandria via LeMat-Bulk, functional PBE.

Properties
- Total moment: 0.00 μB per cell
- V: 16.687 Å³ per atom
- Formation energy: 0.0 eV per formula unit
- Calculated total energy: -3.73 eV/atom

a = 4.619 Å, b = 6.621 Å, c = 6.621 Å
α = 113.46°, β = 94.80°, γ = 94.80°
Sites, in units of the cell vectors:
Cu1 0.000 0.684 0.316
Al1 0.127 0.322 0.069
Ag1 0.500 0.000 0.000
Al2 0.700 0.375 0.375
Al3 0.500 0.745 0.255
Al4 0.873 0.678 0.931
Al5 0.127 0.069 0.322
Al6 0.873 0.931 0.678
Al7 0.500 0.255 0.745
Al8 0.300 0.625 0.625
Cu2 0.000 0.316 0.684

---

(2)
Sm4TcGe after structural relaxation. Source: Alexandria via LeMat-Bulk, functional PBE.

Properties
- Total moment: 0.00 μB per cell
- V: 27.843 Å³ per atom
- Formation energy: -1.8 eV per formula unit
- Calculated total energy: -5.95 eV/atom

a = 6.409 Å, b = 8.075 Å, c = 8.075 Å
α = 111.91°, β = 106.50°, γ = 106.50°
Sites, in units of the cell vectors:
Sm1 0.801 0.643 0.775
Sm2 0.585 0.298 0.945
Sm3 0.301 0.776 0.643
Sm4 0.915 0.055 0.702
Sm5 0.199 0.357 0.225
Sm6 0.415 0.702 0.055
Ge1 0.750 0.629 0.371
Sm7 0.085 0.945 0.298
Sm8 0.699 0.224 0.357
Tc1 0.750 0.998 0.002
Ge2 0.250 0.371 0.629
Tc2 0.250 0.002 0.998

---

(3)
ErCoH after structural relaxation. Source: Alexandria via LeMat-Bulk, functional PBE.

Properties
- Total moment: 0.00 μB per cell
- V: 13.257 Å³ per atom
- Excess energy over the best structure of this formula in the dataset: 25 meV/atom
- Calculated total energy: -5.00 eV/atom

a = 3.553 Å, b = 3.595 Å, c = 3.595 Å
α = 120.00°, β = 90.00°, γ = 90.00°
Sites, in units of the cell vectors:
Co1 0.167 0.000 0.000
H1 0.167 0.667 0.333
Er1 0.667 0.333 0.667

---

(4)
CaP2W after structural relaxation. Source: Alexandria via LeMat-Bulk, functional PBE.

Properties
- Total moment: 0.00 μB per cell
- V: 17.865 Å³ per atom
- Excess energy over the best structure of this formula in the dataset: 401 meV/atom
- Formation energy: -0.6 eV per formula unit
- Calculated total energy: -6.60 eV/atom

a = 3.734 Å, b = 3.735 Å, c = 5.123 Å
α = 90.00°, β = 90.00°, γ = 90.00°
Sites, in units of the cell vectors:
P1 0.000 0.000 0.875
Ca1 0.500 0.500 0.875
P2 0.500 0.500 0.375
W1 0.000 0.000 0.375

---

(5)
TmAuO after structural relaxation. Source: Alexandria via LeMat-Bulk, functional PBE.

Properties
- Total moment: 0.00 μB per cell
- Formation energy (no corrections): -1826 meV per atom
- V: 17.096 Å³ per atom
- Excess energy over the best structure of this formula in the dataset: 472 meV/atom
- Calculated total energy: -6.06 eV/atom

a = 3.624 Å, b = 3.624 Å, c = 8.221 Å
α = 102.73°, β = 102.73°, γ = 90.00°
Sites, in units of the cell vectors:
Au1 0.705 0.705 0.411
Tm1 0.912 0.912 0.824
O1 0.500 0.000 0.000
O2 0.000 0.500 0.000
Au2 0.295 0.295 0.589
Tm2 0.088 0.088 0.176

---

(6)
LaPdCl2 after structural relaxation. Source: Alexandria via LeMat-Bulk, functional PBE.

Properties
- Total moment: 0.00 μB per cell
- Formation energy (no corrections): -1150 meV per atom
- V: 24.605 Å³ per atom
- Excess energy over the best structure of this formula in the dataset: 33 meV/atom
- Calculated total energy: -4.60 eV/atom

a = 4.638 Å, b = 4.638 Å, c = 9.720 Å
α = 76.20°, β = 76.20°, γ = 90.00°
Sites, in units of the cell vectors:
Cl1 0.615 0.125 0.250
Cl2 0.135 0.625 0.250
Pd1 0.250 0.750 0.500
Cl3 0.875 0.865 0.750
Cl4 0.375 0.385 0.750
La1 0.750 0.250 0.500
Pd2 0.500 0.500 0.000
La2 0.000 0.000 0.000

---

Q: The lowest calculated total energy belongs to which entry?
A: CaP2W

---

Q: Number 3 is which compound?
A: ErCoH

---

Repeat the sixth record exactly.
LaPdCl2 after structural relaxation. Source: Alexandria via LeMat-Bulk, functional PBE.

Properties
- Total moment: 0.00 μB per cell
- Formation energy (no corrections): -1150 meV per atom
- V: 24.605 Å³ per atom
- Excess energy over the best structure of this formula in the dataset: 33 meV/atom
- Calculated total energy: -4.60 eV/atom

a = 4.638 Å, b = 4.638 Å, c = 9.720 Å
α = 76.20°, β = 76.20°, γ = 90.00°
Sites, in units of the cell vectors:
Cl1 0.615 0.125 0.250
Cl2 0.135 0.625 0.250
Pd1 0.250 0.750 0.500
Cl3 0.875 0.865 0.750
Cl4 0.375 0.385 0.750
La1 0.750 0.250 0.500
Pd2 0.500 0.500 0.000
La2 0.000 0.000 0.000